[1]
A geometry-optimized KRbSn12 structure, computed with PBE.

POSCAR file:
```
KRbSn12
1.0
7.445 0.000 0.000
0.000 7.445 0.000
0.000 0.000 14.076
K Rb Sn
1 1 12
Direct
0.000 0.000 0.000
0.000 0.000 0.500
0.195 0.500 0.250
0.195 0.500 0.750
0.500 0.195 0.250
0.500 0.195 0.750
0.500 0.500 0.104
0.500 0.500 0.396
0.500 0.500 0.604
0.500 0.500 0.896
0.500 0.805 0.250
0.500 0.805 0.750
0.805 0.500 0.250
0.805 0.500 0.750
```

Results
Space-group type   P4/mmm, No. 123
Crystal system   tetragonal
E_form   0.262 eV per atom



[2]
A geometry-optimized SbTeMo2 structure, computed with PBE.

POSCAR file:
```
SbTeMo2
1.0
-1.684 2.717 4.334
1.684 -2.717 4.334
1.684 2.717 -4.334
Sb Te Mo
1 1 2
Direct
0.000 0.000 0.000
0.500 0.500 0.000
0.250 0.750 0.500
0.750 0.250 0.500
```

Results
Space-group type   Immm, No. 71
Formation energy without anion corrections   2.9 eV per formula unit
Crystal system   orthorhombic
Offset from the most stable computed form   0.614 eV/atom



[3]
A geometry-optimized NaTmTe4 structure, computed with PBE.

POSCAR file:
```
NaTmTe4
1.0
6.771 0.000 0.000
0.000 6.771 0.000
0.000 0.000 8.165
Na Tm Te
2 2 8
Direct
0.250 0.250 0.000
0.750 0.750 0.000
0.250 0.250 0.500
0.750 0.750 0.500
0.102 0.602 0.275
0.102 0.898 0.725
0.398 0.602 0.725
0.398 0.898 0.275
0.602 0.102 0.725
0.602 0.398 0.275
0.898 0.102 0.275
0.898 0.398 0.725
```

Results
Space-group type   P4/nbm, No. 125
Formation energy without anion corrections   -4.9 eV per formula unit
Crystal system   tetragonal



Number 1: calculated total energy -3.316 eV/atom. Number 2: calculated total energy -6.496 eV/atom. Number 3: calculated total energy -3.880 eV/atom.